VASP calculation (meta-GGA SCAN) on a PBEsol-optimized structure of AlFeBr2.

Lattice parameters (Å, degrees): 8.9943 3.2322 6.9976 90.00 110.95 90.00
Last column: nearest neighbours and their distance in Å.
Space group Cm (No. 8)
Unique sites:
Al 0.0000 0.0000 0.0000  3 Fe 2.57-2.60, 2 Br 2.81
Fe 0.2367 0.5000 0.0751  4 Br 2.45-2.67, 3 Al 2.57-2.60
Br 0.2415 0.0000 0.7743  2 Fe 2.67, 2 Al 2.81
Br 0.4019 0.0000 0.3245  2 Fe 2.45

Summary:
Distance to the lowest polymorph of the same formula: 0.000 eV per atom
Formation energy from raw total energies: -12.3 kJ/mol of atoms

VASP calculation (meta-GGA SCAN) on a PBEsol-optimized structure of Li4InTe.

Lattice parameters (Å, degrees): 7.7692 7.7692 7.7692 90.00 90.00 90.00
Last column: nearest neighbours and their distance in Å.
Space group F-43m (No. 216)
Unique sites:
Li 0.1240 0.1240 0.1240  6 Li 2.73-2.77
In 0.2500 0.2500 0.7500  12 Li 3.22, 4 Te 3.36
Te 0.0000 0.0000 0.5000  12 Li 3.22, 4 In 3.36

Summary:
Formation energy from raw total energies: -19.7 kJ/mol of atoms

VASP calculation (meta-GGA SCAN) on a PBEsol-optimized structure of Be2GaI.

Lattice parameters (Å, degrees): 6.4538 6.4538 6.4538 90.00 90.00 90.00
Last column: nearest neighbours and their distance in Å.
Space group Fm-3m (No. 225)
Unique sites:
Be 0.2500 0.2500 0.2500  4 Ga 2.79, 4 I 2.79
Ga 0.0000 0.0000 0.0000  8 Be 2.79
I 0.0000 0.0000 0.5000  8 Be 2.79

Summary:
Formation energy from raw total energies: 106.0 kJ/mol of atoms

VASP calculation (meta-GGA SCAN) on a PBEsol-optimized structure of Si2Ni2Mo.

Lattice parameters (Å, degrees): 6.7138 6.7138 2.6127 90.00 90.00 90.00
Last column: nearest neighbours and their distance in Å.
Space group P4/mbm (No. 127)
Unique sites:
Si 0.1498 0.3502 0.0000  6 Ni 2.36, 2 Mo 2.56, 2 Si 2.61
Ni 0.1435 0.6435 0.5000  6 Si 2.36, 2 Ni 2.61
Mo 0.0000 0.0000 0.0000  4 Si 2.56, 2 Mo 2.61

Summary:
Formation energy from raw total energies: -44.7 kJ/mol of atoms

VASP calculation (meta-GGA SCAN) on a PBEsol-optimized structure of LaYSi2.

Lattice parameters (Å, degrees): 3.8725 4.3900 10.8393 90.00 90.00 90.00
Last column: nearest neighbours and their distance in Å.
Space group Amm2 (No. 38)
Unique sites:
La 0.0000 0.0000 0.0000  7 Si 3.04-3.22
Y 0.5000 0.0000 0.7202  7 Si 3.00-3.19
Si 0.0000 0.0000 0.2825  2 Si 2.48
Si 0.5000 0.0000 0.4258  2 Si 2.48

Summary:
Distance to the lowest polymorph of the same formula: 0.000 eV per atom
Formation energy from raw total energies: -77.4 kJ/mol of atoms

VASP calculation (meta-GGA SCAN) on a PBEsol-optimized structure of Ca2CrH2I2O11.

Lattice parameters (Å, degrees): 9.9044 7.1787 13.9633 90.00 105.96 90.00
Last column: nearest neighbours and their distance in Å.
Space group P2_1/c (No. 14)
Unique sites:
Ca 0.0987 0.2440 0.0110  6 O 2.30-2.57
Ca 0.2983 0.0950 0.2963  7 O 2.33-2.48
Cr 0.4334 0.2027 0.5803  4 O 1.63-1.68
H 0.4011 0.0045 0.8622  1 O 0.99
H 0.4281 0.0603 0.7589  1 O 1.00
I 0.0503 0.7077 0.2710  3 O 1.82-1.83
I 0.2632 0.7435 0.0782  3 O 1.82-1.84
O 0.0583 0.1888 0.8431  1 I 1.82
O 0.0958 0.1851 0.1734  1 I 1.83
O 0.1188 0.5780 0.8374  1 I 1.83
O 0.1326 0.5593 0.0648  1 I 1.82
O 0.1364 0.5884 0.5052  1 I 1.84
O 0.2694 0.6975 0.7066  1 I 1.83
O 0.3253 0.1519 0.4711  1 Cr 1.65
O 0.3508 0.1524 0.1350  1 Cr 1.64
O 0.4041 0.1128 0.8184  2 H 0.99-1.00
O 0.4205 0.7050 0.4295  1 Cr 1.63, 1 H 1.76
O 0.4648 0.0068 0.6487  1 Cr 1.68, 1 H 1.72

VASP calculation (meta-GGA SCAN) on a PBEsol-optimized structure of NiIrRu2.

Lattice parameters (Å, degrees): 2.6573 3.6907 5.2461 90.00 90.00 90.00
Last column: nearest neighbours and their distance in Å.
Space group Pmm2 (No. 25)
Unique sites:
Ni 0.0000 0.0000 0.0000  6 Ru 2.59-2.66, 4 Ir 2.61, 2 Ni 2.66
Ir 0.5000 0.5000 0.7570  6 Ru 2.55-2.69, 4 Ni 2.61, 2 Ir 2.66
Ru 0.0000 0.0000 0.4934  2 Ni 2.59-2.66, 6 Ru 2.62-2.66, 4 Ir 2.66
Ru 0.5000 0.5000 0.2438  2 Ir 2.55-2.69, 4 Ni 2.61, 6 Ru 2.62-2.66

Summary:
Distance to the lowest polymorph of the same formula: 0.000 eV per atom
E_form: 0.0561 eV/atom

VASP calculation (meta-GGA SCAN) on a PBEsol-optimized structure of As2PbCl.

Lattice parameters (Å, degrees): 3.9320 3.9320 12.0198 90.00 90.00 90.00
Last column: nearest neighbours and their distance in Å.
Space group I4/mmm (No. 139)
Unique sites:
As 0.0000 0.5000 0.2500  4 As 2.78
Pb 0.0000 0.0000 0.0000  4 Cl 2.78
Cl 0.0000 0.0000 0.5000  4 Pb 2.78

Summary:
Formation energy from raw total energies: -2.1 kJ/mol of atoms

VASP calculation (meta-GGA SCAN) on a PBEsol-optimized structure of Li2TlF.

Lattice parameters (Å, degrees): 6.5018 6.5018 6.5018 90.00 90.00 90.00
Last column: nearest neighbours and their distance in Å.
Space group Fm-3m (No. 225)
Unique sites:
Li 0.2500 0.2500 0.2500  4 Tl 2.82, 4 F 2.82
Tl 0.0000 0.0000 0.0000  8 Li 2.82
F 0.0000 0.0000 0.5000  8 Li 2.82

Summary:
Formation energy from raw total energies: -75.1 kJ/mol of atoms

VASP calculation (meta-GGA SCAN) on a PBEsol-optimized structure of Ba2ZnSe.

Lattice parameters (Å, degrees): 7.8101 7.8101 7.8101 90.00 90.00 90.00
Last column: nearest neighbours and their distance in Å.
Space group F-43m (No. 216)
Unique sites:
Ba 0.0000 0.0000 0.0000  4 Ba 3.38, 4 Zn 3.38
Ba 0.2500 0.2500 0.2500  4 Ba 3.38, 4 Se 3.38
Zn 0.2500 0.2500 0.7500  4 Ba 3.38, 4 Se 3.38
Se 0.0000 0.0000 0.5000  4 Ba 3.38, 4 Zn 3.38

Summary:
Distance to the lowest polymorph of the same formula: 0.671 eV per atom
Formation energy from raw total energies: -35.7 kJ/mol of atoms

VASP calculation (meta-GGA SCAN) on a PBEsol-optimized structure of LaSiAs2Br.

Lattice parameters (Å, degrees): 4.8038 4.8038 5.0586 90.00 90.00 90.00
Last column: nearest neighbours and their distance in Å.
Space group P4/mmm (No. 123)
Unique sites:
La 0.0000 0.0000 0.0000  4 Br 3.40, 8 As 3.49
Si 0.5000 0.5000 0.5000  4 As 2.40, 2 Br 2.53
As 0.0000 0.5000 0.5000  2 Si 2.40
Br 0.5000 0.5000 0.0000  2 Si 2.53

Summary:
Formation energy from raw total energies: -45.2 kJ/mol of atoms

VASP calculation (meta-GGA SCAN) on a PBEsol-optimized structure of YCdP2.

Lattice parameters (Å, degrees): 4.0559 4.0559 17.6557 90.00 90.00 120.00
Last column: nearest neighbours and their distance in Å.
Space group R-3m (No. 166, hexagonal axes)
Unique sites:
Y 0.0000 0.0000 0.0000  6 P 2.77
Cd 0.0000 0.0000 0.5000  6 P 2.76
P 0.0000 0.0000 0.2491  3 Cd 2.76, 3 Y 2.77

Summary:
E_form: -0.6627 eV/atom

The records above yield energy values of -16.33; -13.57; -14.35; -17.92; -23.55; -11.99; -39.18; -31.06; -20.95; -28.54; -23.06; -20.43 eV per atom, respectively.